Entry 1:
Computed, not measured: an optimized crystal structure of Pm2Tm2Bi2C at the PBE-GGA level of DFT.

Formation energy from the elements ... -709 meV/atom
Magnetization ... 0.00 μB per formula unit

a b c (Å): 4.7895 4.7895 16.4464
angles (deg): 90.00 90.00 90.00
Closest atoms and distances in Å follow each position.
Space group I4/mmm (No. 139)
Unique sites:
Pm1 0.0000 0.0000 0.1585 x4  1 C 2.61
Tm1 0.0000 0.5000 0.0000 x4  2 C 2.39
Bi1 0.0000 0.0000 0.3610 x4  4 Tm 3.31, 5 Pm 3.33-3.40
C1 0.0000 0.0000 0.0000 x2  4 Tm 2.39, 2 Pm 2.61

Entry 2:
Computed, not measured: an optimized crystal structure of BaScCl2 at the PBE-GGA level of DFT.

Magnetization ... 1.38 μB per formula unit
Formation energy from raw total energies ... -1.068 eV/atom

a b c (Å): 3.7248 3.7248 11.2118
angles (deg): 90.00 90.00 90.00
Closest atoms and distances in Å follow each position.
Space group P4/mmm (No. 123)
Unique sites:
Ba1 0.0000 0.0000 0.0000 x1  8 Cl 3.15
Sc1 0.0000 0.0000 0.5000 x1  4 Sc 3.72
Cl1 0.5000 0.5000 0.1545 x2  4 Ba 3.15, 1 Cl 3.46

Entry 3:
Computed, not measured: an optimized crystal structure of Sm2DyY3P6 at the PBE-GGA level of DFT.

Formation energy from the elements ... -1604 meV/atom
Magnetization ... 0.00 μB per formula unit

a b c (Å): 7.0061 12.1333 7.0049
angles (deg): 90.00 109.46 90.00
Closest atoms and distances in Å follow each position.
Space group C2/m (No. 12)
Unique sites:
Sm1 0.0000 0.1664 0.0000 x4  6 P 2.88
Dy1 0.0000 0.5000 0.0000 x2  6 P 2.85
Y1 0.0000 0.0000 0.5000 x2  6 P 2.84-2.87
Y2 0.0000 0.3327 0.5000 x4  6 P 2.84-2.86
P1 0.2454 0.5000 0.7464 x4  3 Y 2.84-2.87, 1 Dy 2.85, 2 Sm 2.88
P2 0.2494 0.3349 0.2532 x8  3 Y 2.84-2.86, 1 Dy 2.85, 2 Sm 2.88

Entry 4:
Computed, not measured: an optimized crystal structure of Ti2CrIn at the PBE-GGA level of DFT.

Formation energy from the elements ... 637 meV/atom
Magnetization ... 0.00 μB per formula unit

a b c (Å): 3.8367 3.8367 19.3578
angles (deg): 90.00 90.00 90.00
Closest atoms and distances in Å follow each position.
Space group I-42d (No. 122)
Unique sites:
Ti1 0.2341 0.2500 0.1250 x8  4 Ti 2.63-2.80, 2 Cr 2.75, 2 In 2.80
Cr1 0.0000 0.0000 0.0000 x4  4 In 2.71, 4 Ti 2.75
In1 0.0000 0.0000 0.5000 x4  4 Cr 2.71, 4 Ti 2.80

Entry 5:
Computed, not measured: an optimized crystal structure of Cu6Pd5Rh at the PBE-GGA level of DFT.

Formation energy from the elements ... -57 meV/atom
Magnetization ... 0.98 μB per formula unit

a b c (Å): 4.2756 5.9825 12.8234
angles (deg): 90.00 90.00 90.00
Closest atoms and distances in Å follow each position.
Space group Immm (No. 71)
Unique sites:
Cu1 0.0000 0.2472 0.0000 x4  2 Rh 2.60, 6 Pd 2.60-2.62
Cu2 0.0000 0.2512 0.3340 x8  1 Rh 2.60, 7 Pd 2.60-2.62
Pd1 0.0000 0.0000 0.1668 x4  8 Cu 2.60-2.62
Pd2 0.0000 0.0000 0.5000 x2  8 Cu 2.61-2.62
Pd3 0.0000 0.5000 0.1667 x4  8 Cu 2.61-2.62
Rh1 0.0000 0.5000 0.5000 x2  8 Cu 2.60

Entry 6:
Computed, not measured: an optimized crystal structure of ZrTeMo2 at the PBE-GGA level of DFT.

Magnetization ... 0.00 μB per formula unit
Formation energy from raw total energies ... 0.150 eV/atom

a b c (Å): 3.2203 4.3035 5.4565
angles (deg): 90.00 90.00 90.00
Closest atoms and distances in Å follow each position.
Space group Pmm2 (No. 25)
Unique sites:
Zr1 0.0000 0.0000 0.0000 x1  2 Mo 2.59-2.87
Te1 0.5000 0.5000 0.7416 x1  2 Mo 2.65-2.81
Mo1 0.0000 0.0000 0.4738 x1  2 Zr 2.59-2.87
Mo2 0.5000 0.5000 0.2563 x1  2 Te 2.65-2.81, 4 Mo 2.94